(1)
# Pm2NdGa2Pt7, relaxed, DFT PBE-GGA
# Total moment: 0.000 Bohr magnetons per cell
# Final energy: -6.151 eV/atom
# SG: C2/m
# Fermi-level density of states: 3.3 states/eV per cell
data_Pm2NdGa2Pt7
_cell_length_a 4.1236
_cell_length_b 4.1236
_cell_length_c 14.2543
_cell_angle_alpha 83.70
_cell_angle_beta 83.70
_cell_angle_gamma 89.34
_symmetry_space_group_name_H-M 'P 1'
_symmetry_Int_Tables_number 1
loop_
_symmetry_equiv_pos_as_xyz
'x,y,z'
loop_
_atom_site_label
_atom_site_type_symbol
_atom_site_fract_x
_atom_site_fract_y
_atom_site_fract_z
_atom_site_occupancy
Pm1 Pm 0.8813 0.8813 0.3583 1
Pm2 Pm 0.1187 0.1187 0.6417 1
Nd1 Nd 0.0000 0.0000 0.0000 1
Ga1 Ga 0.5965 0.5965 0.7425 1
Ga2 Ga 0.4035 0.4035 0.2575 1
Pt1 Pt 0.5000 0.5000 0.0000 1
Pt2 Pt 0.3660 0.3660 0.4314 1
Pt3 Pt 0.6340 0.6340 0.5686 1
Pt4 Pt 0.9407 0.4411 0.1575 1
Pt5 Pt 0.4411 0.9407 0.1575 1
Pt6 Pt 0.5589 0.0593 0.8425 1
Pt7 Pt 0.0593 0.5589 0.8425 1



(2)
# Ba2TlGa4Ge3, relaxed, DFT PBE-GGA
# Total moment: 0.000 Bohr magnetons per cell
# Final energy: -3.543 eV/atom
# SG: P-4m2
# Fermi-level density of states: 4.2 states/eV per cell
data_Ba2TlGa4Ge3
_cell_length_a 4.9287
_cell_length_b 4.9287
_cell_length_c 10.2956
_cell_angle_alpha 90.00
_cell_angle_beta 90.00
_cell_angle_gamma 90.00
_symmetry_space_group_name_H-M 'P 1'
_symmetry_Int_Tables_number 1
loop_
_symmetry_equiv_pos_as_xyz
'x,y,z'
loop_
_atom_site_label
_atom_site_type_symbol
_atom_site_fract_x
_atom_site_fract_y
_atom_site_fract_z
_atom_site_occupancy
Ba1 Ba 0.5000 0.0000 0.2449 1
Ba2 Ba 0.0000 0.5000 0.7551 1
Tl1 Tl 0.5000 0.5000 0.5000 1
Ga1 Ga 0.5000 0.5000 0.0000 1
Ga2 Ga 0.0000 0.0000 0.0000 1
Ga3 Ga 0.5000 0.0000 0.6326 1
Ga4 Ga 0.0000 0.5000 0.3674 1
Ge1 Ge 0.0000 0.0000 0.5000 1
Ge2 Ge 0.5000 0.0000 0.8858 1
Ge3 Ge 0.0000 0.5000 0.1142 1



Q: Which of these has the lowest final energy?
A: Pm2NdGa2Pt7



Q: Which of these has the lowest Fermi-level density of states?
A: Pm2NdGa2Pt7



Q: Look up the total moment of the second one.
A: 0.000 Bohr magnetons per cell



Q: Which value of final energy does entry 2 give?
A: -3.543 eV/atom